VASP calculation (PBE-GGA) on a relaxed structure of ZrV3Mo.

The structure in POSCAR format:
```
ZrV3Mo
1.0
4.5569 0.0000 0.0000
0.0000 4.5569 0.0000
0.0000 0.0000 4.5569
Zr V Mo
1 3 1
Direct
0.0000 0.0000 0.0000 Zr
0.0000 0.5000 0.5000 V
0.5000 0.0000 0.5000 V
0.5000 0.5000 0.0000 V
0.5000 0.5000 0.5000 Mo
```

Results
total magnetization	0.0	μB/f.u.
DOS at the Fermi energy	5.9	states/eV/f.u.
relative energy among the computed polymorphs	0	meV/atom
ΔE_f	930.0	meV per atom
SG	No. 221